# 1
Density functional theory data (GGA-PBE) for a relaxed structure of Ag3HgPt.

## Properties
Offset from the most stable computed form   0.0000 eV/atom
V   19.27 Å³/atom
ΔH_f (0 K)   3.268 kcal/mol of atoms
M_tot   0.000 μB per atom
DFT total energy   -2.84 eV per atom

Structure (CIF):
```
data_Ag3HgPt
_symmetry_space_group_name_H-M 'C m c e'
_symmetry_Int_Tables_number 64
_symmetry_space_group_name_Hall '-C 2ac 2'
_cell_length_a 11.081
_cell_length_b 10.186
_cell_length_c 6.829
_cell_angle_alpha 90.00
_cell_angle_beta 90.00
_cell_angle_gamma 90.00
loop_
_atom_site_label
_atom_site_fract_x
_atom_site_fract_y
_atom_site_fract_z
Ag1 0.000 0.093 0.165
Ag2 0.149 0.212 0.879
Hg1 0.250 0.032 0.250
Pt1 0.000 0.118 0.581
```

# 2
Density functional theory data (GGA-PBE) for a relaxed structure of TaCd2Co.

## Properties
Offset from the most stable computed form   0.3088 eV/atom
V   17.36 Å³/atom
ΔH_f (0 K)   8.789 kcal/mol of atoms
M_tot   0.412 μB per atom
DFT total energy   -4.82 eV per atom

Structure (CIF):
```
data_TaCd2Co
_symmetry_space_group_name_H-M 'P 4/m m m'
_symmetry_Int_Tables_number 123
_symmetry_space_group_name_Hall '-P 4 2'
_cell_length_a 2.881
_cell_length_b 2.881
_cell_length_c 8.364
_cell_angle_alpha 90.00
_cell_angle_beta 90.00
_cell_angle_gamma 90.00
loop_
_atom_site_label
_atom_site_fract_x
_atom_site_fract_y
_atom_site_fract_z
Ta1 0.000 0.000 0.000
Cd1 0.500 0.500 0.274
Co1 0.000 0.000 0.500
```

# 3
Density functional theory data (GGA-PBE) for a relaxed structure of KPb2Cl5.

## Properties
Offset from the most stable computed form   0.0109 eV/atom
V   29.33 Å³/atom
M_tot   0.000 μB per atom
DFT total energy   -3.58 eV per atom

Structure (CIF):
```
data_KPb2Cl5
_symmetry_space_group_name_H-M 'P n a 21'
_symmetry_Int_Tables_number 33
_symmetry_space_group_name_Hall 'P 2c -2n'
_cell_length_a 12.719
_cell_length_b 8.249
_cell_length_c 8.946
_cell_angle_alpha 90.00
_cell_angle_beta 90.00
_cell_angle_gamma 90.00
loop_
_atom_site_label
_atom_site_fract_x
_atom_site_fract_y
_atom_site_fract_z
K1 0.171 0.023 0.000
Pb1 0.000 0.418 0.744
Pb2 0.186 0.990 0.515
Cl1 0.008 0.054 0.733
Cl2 0.092 0.673 0.531
Cl3 0.101 0.650 0.955
Cl4 0.188 0.352 0.229
Cl5 0.222 0.316 0.759
```

# 4
Density functional theory data (GGA-PBE) for a relaxed structure of MgSbCl.

## Properties
Offset from the most stable computed form   0.0091 eV/atom
V   27.83 Å³/atom
M_tot   0.000 μB per atom
DFT total energy   -3.39 eV per atom

Structure (CIF):
```
data_MgSbCl
_symmetry_space_group_name_H-M 'P 3 m 1'
_symmetry_Int_Tables_number 156
_symmetry_space_group_name_Hall 'P 3 -2"'
_cell_length_a 3.4669
_cell_length_b 3.4669
_cell_length_c 8.0215
_cell_angle_alpha 90.00
_cell_angle_beta 90.00
_cell_angle_gamma 120.00
loop_
_atom_site_label
_atom_site_fract_x
_atom_site_fract_y
_atom_site_fract_z
Mg1 0.0000 0.0000 0.0000
Sb1 0.6667 0.3333 0.2910
Cl1 0.3333 0.6667 0.8190
```

# 5
Density functional theory data (GGA-PBE) for a relaxed structure of TlAgBr2F.

## Properties
V   26.12 Å³/atom
M_tot   0.000 μB per atom
DFT total energy   -2.87 eV per atom

Structure (CIF):
```
data_TlAgBr2F
_symmetry_space_group_name_H-M 'P 4/m m m'
_symmetry_Int_Tables_number 123
_symmetry_space_group_name_Hall '-P 4 2'
_cell_length_a 5.464
_cell_length_b 5.464
_cell_length_c 4.374
_cell_angle_alpha 90.00
_cell_angle_beta 90.00
_cell_angle_gamma 90.00
loop_
_atom_site_label
_atom_site_fract_x
_atom_site_fract_y
_atom_site_fract_z
Tl1 0.000 0.000 0.000
Ag1 0.500 0.500 0.500
Br1 0.000 0.500 0.500
F1 0.500 0.500 0.000
```

# 6
Density functional theory data (GGA-PBE) for a relaxed structure of Tb4MgSn2.

## Properties
V   31.03 Å³/atom
ΔH_f (0 K)   -5.638 kcal/mol of atoms
M_tot   0.000 μB per atom
DFT total energy   -4.26 eV per atom

Structure (CIF):
```
data_Tb4MgSn2
_symmetry_space_group_name_H-M 'R -3 m'
_symmetry_Int_Tables_number 166
_symmetry_space_group_name_Hall '-R 3 2"'
_cell_length_a 5.2602
_cell_length_b 5.2602
_cell_length_c 27.1974
_cell_angle_alpha 90.00
_cell_angle_beta 90.00
_cell_angle_gamma 120.00
loop_
_atom_site_label
_atom_site_fract_x
_atom_site_fract_y
_atom_site_fract_z
Tb1 0.0000 0.0000 0.1244
Tb2 0.0000 0.0000 0.2823
Mg1 0.0000 0.0000 0.5000
Sn1 0.0000 0.0000 0.3973
```

# 7
Density functional theory data (GGA-PBE) for a relaxed structure of ZrSc14Tl.

## Properties
V   24.13 Å³/atom
ΔH_f (0 K)   -0.057 kcal/mol of atoms
M_tot   0.040 μB per atom
DFT total energy   -6.22 eV per atom

Structure (CIF):
```
data_ZrSc14Tl
_symmetry_space_group_name_H-M 'A m m 2'
_symmetry_Int_Tables_number 38
_symmetry_space_group_name_Hall 'A 2 -2'
_cell_length_a 9.936
_cell_length_b 7.705
_cell_length_c 10.088
_cell_angle_alpha 90.00
_cell_angle_beta 90.00
_cell_angle_gamma 90.00
loop_
_atom_site_label
_atom_site_fract_x
_atom_site_fract_y
_atom_site_fract_z
Zr1 0.000 0.000 0.000
Sc1 0.000 0.209 0.267
Sc2 0.224 0.000 0.771
Sc3 0.247 0.213 0.486
Sc4 0.272 0.000 0.207
Sc5 0.500 0.000 0.429
Sc6 0.500 0.000 0.981
Sc7 0.500 0.201 0.711
Tl1 0.000 0.000 0.545
```

# 8
Density functional theory data (GGA-PBE) for a relaxed structure of TiGeO3.

## Properties
V   15.61 Å³/atom
M_tot   0.000 μB per atom
DFT total energy   -7.75 eV per atom

Structure (CIF):
```
data_TiGeO3
_symmetry_space_group_name_H-M 'R -3'
_symmetry_Int_Tables_number 148
_symmetry_space_group_name_Hall '-R 3'
_cell_length_a 5.0463
_cell_length_b 5.0463
_cell_length_c 21.2345
_cell_angle_alpha 90.00
_cell_angle_beta 90.00
_cell_angle_gamma 120.00
loop_
_atom_site_label
_atom_site_fract_x
_atom_site_fract_y
_atom_site_fract_z
Ti1 0.0000 0.0000 0.1604
Ge1 0.0000 0.0000 0.4034
O1 0.0005 0.3424 0.4494
```

# 9
Density functional theory data (GGA-PBE) for a relaxed structure of ZrNb2Re.

## Properties
Offset from the most stable computed form   0.0000 eV/atom
V   18.22 Å³/atom
ΔH_f (0 K)   -3.920 kcal/mol of atoms
M_tot   0.000 μB per atom
DFT total energy   -10.45 eV per atom

Structure (CIF):
```
data_ZrNb2Re
_symmetry_space_group_name_H-M 'I m m m'
_symmetry_Int_Tables_number 71
_symmetry_space_group_name_Hall '-I 2 2'
_cell_length_a 3.278
_cell_length_b 4.645
_cell_length_c 9.575
_cell_angle_alpha 90.00
_cell_angle_beta 90.00
_cell_angle_gamma 90.00
loop_
_atom_site_label
_atom_site_fract_x
_atom_site_fract_y
_atom_site_fract_z
Zr1 0.000 0.000 0.000
Nb1 0.000 0.500 0.235
Re1 0.000 0.000 0.500
```

# 10
Density functional theory data (GGA-PBE) for a relaxed structure of KLi2As2.

## Properties
V   23.65 Å³/atom
ΔH_f (0 K)   -7.272 kcal/mol of atoms
M_tot   0.000 μB per atom
DFT total energy   -3.16 eV per atom

Structure (CIF):
```
data_KLi2As2
_symmetry_space_group_name_H-M 'I 4/m m m'
_symmetry_Int_Tables_number 139
_symmetry_space_group_name_Hall '-I 4 2'
_cell_length_a 4.680
_cell_length_b 4.680
_cell_length_c 10.797
_cell_angle_alpha 90.00
_cell_angle_beta 90.00
_cell_angle_gamma 90.00
loop_
_atom_site_label
_atom_site_fract_x
_atom_site_fract_y
_atom_site_fract_z
K1 0.000 0.000 0.000
Li1 0.000 0.000 0.345
As1 0.000 0.500 0.250
```

# 11
Density functional theory data (GGA-PBE) for a relaxed structure of CsCaZr3.

## Properties
Offset from the most stable computed form   0.1336 eV/atom
V   34.30 Å³/atom
ΔH_f (0 K)   40.585 kcal/mol of atoms
M_tot   0.509 μB per atom
DFT total energy   -3.94 eV per atom

Structure (CIF):
```
data_CsCaZr3
_symmetry_space_group_name_H-M 'P m -3 m'
_symmetry_Int_Tables_number 221
_symmetry_space_group_name_Hall '-P 4 2 3'
_cell_length_a 5.556
_cell_length_b 5.556
_cell_length_c 5.556
_cell_angle_alpha 90.00
_cell_angle_beta 90.00
_cell_angle_gamma 90.00
loop_
_atom_site_label
_atom_site_fract_x
_atom_site_fract_y
_atom_site_fract_z
Cs1 0.000 0.000 0.000
Ca1 0.500 0.500 0.500
Zr1 0.000 0.500 0.500
```